YBeOs | GGA-PBE | relaxed

Geometry as extended XYZ:
```
12
Lattice="-2.356 -1.072 -3.953 2.382 -1.862 -3.738 -2.742 -9.040 1.261" Properties=species:S:1:pos:R:3 pbc="T T T"
Os -1.040 -7.197 -1.664
Os -0.497 -4.241 -2.790
Os -3.648 -8.098 -1.278
Os -1.450 -2.014 -1.414
Be -2.336 -8.376 -3.396
Be -1.556 -4.134 -5.011
Be -2.352 -6.919 0.454
Be -2.746 -3.193 -3.146
Y -3.129 -5.815 -3.618
Y -0.764 -6.695 -4.789
Y -1.173 -1.512 -4.539
Y 1.200 -1.421 -3.153
```

**Symmetry**: No. 70
**Magnetic moment**: 0.00 μB per formula unit
**Uncorrected energy**: -7.0996 eV/atom
**Calculated formation energy**: 40 meV per atom

---

Y2BeOs | GGA-PBE | relaxed

Geometry as extended XYZ:
```
4
Lattice="-0.876 4.584 -7.000 1.268 2.004 -8.072 -2.213 1.477 -7.982" Properties=species:S:1:pos:R:3 pbc="T T T"
Y -0.004 0.017 -0.047
Y -0.907 4.016 -11.479
Be -0.455 2.016 -5.763
Os -1.366 6.048 -17.290
```

**Symmetry**: No. 166
**Magnetic moment**: 0.00 μB per formula unit
**Uncorrected energy**: -6.6011 eV/atom
**Calculated formation energy**: 370 meV per atom

---

> Which of these has the lowest uncorrected energy?

YBeOs